{"formula": "MgPCl", "functional": "GGA-PBE", "state": "optimized geometry", "raw_formation_energy_ev_per_fu": -0.03, "spacegroup": "F-43m (216)", "m_tot_mub_per_fu": 2.016, "polymorph_energy_ev_per_atom": 0.522, "dos_ef_per_ev_atom": 0.554, "lattice_angstrom": [[4.6051, 0.0000, 0.0000], [2.3026, 3.9882, 0.0000], [2.3026, 1.3294, 3.7601]], "species": ["Mg", "Cl", "P"], "frac_coords": [[0.2500, 0.2500, 0.2500], [0.5000, 0.5000, 0.5000], [0.0000, 0.0000, 0.0000]]}

---

{"formula": "Y2PtBr", "functional": "GGA-PBE", "state": "optimized geometry", "raw_formation_energy_ev_per_fu": -3.37, "spacegroup": "Fm-3m (225)", "m_tot_mub_per_fu": 0.713, "polymorph_energy_ev_per_atom": 0.403, "dos_ef_per_ev_atom": 1.439, "lattice_angstrom": [[-0.1326, 2.3170, 4.5388], [-4.3415, 0.1318, 2.6686], [-0.4584, -2.7626, 4.2597]], "species": ["Y", "Y", "Pt", "Br"], "frac_coords": [[0.2500, 0.2500, 0.2500], [0.7500, 0.7500, 0.7500], [0.5000, 0.5000, 0.5000], [0.0000, 0.0000, 0.0000]]}

---

{"formula": "Ac2Si3Tc2", "functional": "GGA-PBE", "state": "optimized geometry", "raw_formation_energy_ev_per_fu": -2.56, "spacegroup": "C2/m (12)", "m_tot_mub_per_fu": 0.000, "dos_ef_per_ev_atom": 0.980, "lattice_angstrom": [[-0.4672, -0.0440, 4.3009], [-8.5062, 0.0372, 1.2524], [-1.4932, -9.2072, 1.9198]], "species": ["Si", "Si", "Si", "Si", "Si", "Si", "Tc", "Tc", "Tc", "Tc", "Ac", "Ac", "Ac", "Ac"], "frac_coords": [[0.1341, 0.4976, 0.2341], [0.9370, 0.9940, 0.1320], [0.4118, 0.7388, 0.4377], [0.5882, 0.2612, 0.5623], [0.8659, 0.5024, 0.7659], [0.0630, 0.0060, 0.8680], [0.4146, 0.5243, 0.6465], [0.9617, 0.7589, 0.3176], [0.5854, 0.4757, 0.3535], [0.0383, 0.2411, 0.6824], [0.6114, 0.7318, 0.0454], [0.7366, 0.8720, 0.6548], [0.2634, 0.1280, 0.3452], [0.3886, 0.2682, 0.9546]]}

---

{"formula": "Nd4BiSb2Pb", "functional": "GGA-PBE", "state": "optimized geometry", "raw_formation_energy_ev_per_fu": -7.44, "spacegroup": "P2/m (10)", "m_tot_mub_per_fu": 0.000, "dos_ef_per_ev_atom": 0.524, "lattice_angstrom": [[4.5100, 0.0000, 0.0000], [0.0000, 7.9573, -0.2113], [0.0000, 2.7480, 7.3878]], "species": ["Pb", "Nd", "Nd", "Nd", "Nd", "Sb", "Sb", "Bi"], "frac_coords": [[0.5000, 0.5000, 0.0000], [0.0000, 0.2422, 0.2533], [0.5000, 0.2435, 0.7525], [0.5000, 0.7565, 0.2475], [0.0000, 0.7578, 0.7467], [0.5000, 0.0000, 0.5000], [0.0000, 0.0000, 0.0000], [0.0000, 0.5000, 0.5000]]}

---

{"formula": "AcNdHSe2", "functional": "GGA-PBE", "state": "optimized geometry", "spacegroup": "P4/nmm (129)", "m_tot_mub_per_fu": 0.000, "total_energy_ev_per_cell": -52.8, "dos_ef_per_ev_atom": 0.536, "lattice_angstrom": [[-1.5718, -2.2413, 3.0946], [2.3233, -3.2172, -1.1500], [11.1396, 4.7834, 9.1225]], "species": ["Se", "Se", "Se", "Se", "Ac", "Ac", "H", "H", "Nd", "Nd"], "frac_coords": [[0.5000, 0.0000, 0.3405], [0.0000, 0.5000, 0.6595], [0.5000, 0.0000, 0.9172], [0.0000, 0.5000, 0.0828], [0.5000, 0.0000, 0.1359], [0.0000, 0.5000, 0.8641], [0.5000, 0.5000, 0.5000], [0.0000, 0.0000, 0.5000], [0.0000, 0.5000, 0.4079], [0.5000, 0.0000, 0.5921]]}

---

{"formula": "TiGaTc2", "functional": "GGA-PBE", "state": "optimized geometry", "ef_mev_per_atom": -319, "spacegroup": "P4/mmm (123)", "m_tot_mub_per_fu": 0.001, "dos_ef_per_ev_atom": 1.050, "lattice_angstrom": [[3.1950, 0.0000, 0.0000], [0.0000, 4.2794, 0.0000], [0.0000, 0.0000, 4.2794]], "species": ["Ga", "Tc", "Tc", "Ti"], "frac_coords": [[0.5000, 0.0000, 0.0000], [0.0000, 0.0000, 0.5000], [0.0000, 0.5000, 0.0000], [0.5000, 0.5000, 0.5000]]}

---

{"formula": "HgSeSN2", "functional": "GGA-PBE", "state": "optimized geometry", "raw_formation_energy_ev_per_fu": 10.36, "spacegroup": "P4/mmm (123)", "m_tot_mub_per_fu": 4.211, "polymorph_energy_ev_per_atom": 0.636, "dos_ef_per_ev_atom": 0.571, "lattice_angstrom": [[-1.6300, -2.1678, -3.1230], [1.6533, -3.4640, 1.5416], [-5.2946, -0.9911, 3.4513]], "species": ["N", "N", "Hg", "Se", "S"], "frac_coords": [[0.0000, 0.5000, 0.0000], [0.5000, 0.0000, 0.0000], [0.0000, 0.0000, 0.0000], [0.0000, 0.0000, 0.5000], [0.5000, 0.5000, 0.5000]]}

---

{"formula": "Zr3UTc4", "functional": "GGA-PBE", "state": "optimized geometry", "ef_mev_per_atom": -343, "spacegroup": "Pmmm (47)", "m_tot_mub_per_fu": 0.000, "dos_ef_per_ev_atom": 0.693, "lattice_angstrom": [[3.3275, 0.0000, 0.0000], [0.0000, 4.7931, 0.0000], [0.0000, 0.0000, 9.0867]], "species": ["Tc", "Tc", "Tc", "Tc", "Zr", "Zr", "Zr", "U"], "frac_coords": [[0.0000, 0.5000, 0.7693], [0.0000, 0.0000, 0.5000], [0.0000, 0.0000, 0.0000], [0.0000, 0.5000, 0.2307], [0.5000, 0.0000, 0.2578], [0.5000, 0.0000, 0.7422], [0.5000, 0.5000, 0.5000], [0.5000, 0.5000, 0.0000]]}

---

{"formula": "Rb3Y3OsO8", "functional": "GGA-PBE", "state": "optimized geometry", "raw_formation_energy_ev_per_fu": -34.33, "spacegroup": "R-3m (166)", "m_tot_mub_per_fu": 2.000, "dos_ef_per_ev_atom": 0.328, "lattice_angstrom": [[-3.4630, 5.4833, -2.1402], [-2.3938, -3.7384, 5.1907], [6.0784, 4.4210, 1.4923]], "species": ["O", "O", "O", "O", "O", "O", "O", "O", "Rb", "Rb", "Rb", "Y", "Y", "Y", "Os"], "frac_coords": [[0.7921, 0.5842, 0.3367], [0.2079, 0.4158, 0.6633], [0.7923, 0.0444, 0.3368], [0.2077, 0.9556, 0.6632], [0.7246, 0.4492, 0.6738], [0.2754, 0.5508, 0.3262], [0.2522, 0.0445, 0.3368], [0.7478, 0.9555, 0.6632], [0.5000, 0.5000, 0.0000], [0.0000, 0.0000, 0.0000], [0.0000, 0.5000, 0.0000], [0.0000, 0.5000, 0.5000], [0.5000, 0.5000, 0.5000], [0.5000, 0.0000, 0.5000], [0.0000, 0.0000, 0.5000]]}

---

{"formula": "NaLi2Al", "functional": "GGA-PBE", "state": "optimized geometry", "ef_mev_per_atom": 203, "spacegroup": "R-3m (166)", "m_tot_mub_per_fu": 0.000, "dos_ef_per_ev_atom": 0.582, "lattice_angstrom": [[-1.1537, 1.1195, -2.5739], [-1.9314, -1.6635, -1.6468], [-9.5821, 4.1078, 4.2925]], "species": ["Na", "Li", "Li", "Al"], "frac_coords": [[0.5000, 0.5000, 0.5000], [0.9189, 0.9189, 0.2432], [0.0811, 0.0811, 0.7568], [0.0000, 0.0000, 0.0000]]}

---

{"formula": "Rb6Se2BrO", "functional": "GGA-PBE", "state": "optimized geometry", "raw_formation_energy_ev_per_fu": -10.79, "spacegroup": "P2_1/c (14)", "m_tot_mub_per_fu": 1.184, "dos_ef_per_ev_atom": 1.715, "lattice_angstrom": [[8.0635, 0.0000, -0.0413], [0.0000, 8.6834, 0.0000], [0.0105, 0.0000, 11.4765]], "species": ["Se", "Se", "Se", "Se", "Rb", "Rb", "Rb", "Rb", "Rb", "Rb", "Rb", "Rb", "Rb", "Rb", "Rb", "Rb", "Br", "Br", "O", "O"], "frac_coords": [[0.9746, 0.0851, 0.7523], [0.4746, 0.4149, 0.2523], [0.5254, 0.5851, 0.7477], [0.0254, 0.9149, 0.2477], [0.2883, 0.6681, 0.0607], [0.6279, 0.0506, 0.2762], [0.2117, 0.1681, 0.4393], [0.8721, 0.5506, 0.2238], [0.7117, 0.3319, 0.9393], [0.3378, 0.7101, 0.4307], [0.1279, 0.4494, 0.7762], [0.3721, 0.9494, 0.7238], [0.7883, 0.8319, 0.5607], [0.8378, 0.7899, 0.9307], [0.6622, 0.2899, 0.5693], [0.1622, 0.2101, 0.0693], [0.5000, 0.0000, 0.0000], [0.0000, 0.5000, 0.5000], [0.0000, 0.5000, 0.0000], [0.5000, 0.0000, 0.5000]]}

---

{"formula": "Ti2Zn3Ni", "functional": "GGA-PBE", "state": "optimized geometry", "ef_mev_per_atom": -206, "spacegroup": "P6/mmm (191)", "m_tot_mub_per_fu": 0.000, "dos_ef_per_ev_atom": 1.003, "lattice_angstrom": [[5.4554, 0.0000, 0.0000], [0.0000, 7.4149, -4.2810], [0.0000, 0.0000, 8.5619]], "species": ["Ti", "Ti", "Ti", "Ti", "Ti", "Ti", "Ti", "Ti", "Zn", "Zn", "Zn", "Zn", "Zn", "Zn", "Zn", "Zn", "Zn", "Zn", "Zn", "Zn", "Ni", "Ni", "Ni", "Ni"], "frac_coords": [[0.7500, 0.0000, 0.0000], [0.2500, 0.0002, 0.5001], [0.7500, 0.5001, 0.4999], [0.2500, 0.0000, 0.0000], [0.2500, 0.4999, 0.9998], [0.2500, 0.4999, 0.5001], [0.7500, 0.9998, 0.4999], [0.7500, 0.5001, 0.0002], [0.5001, 0.1685, 0.3371], [0.4999, 0.8315, 0.1685], [0.9999, 0.6629, 0.8315], [0.9999, 0.1685, 0.8315], [0.4999, 0.8315, 0.6629], [0.0001, 0.8315, 0.6629], [0.5001, 0.1685, 0.8315], [0.4999, 0.3371, 0.1685], [0.9999, 0.1685, 0.3371], [0.5001, 0.6629, 0.8315], [0.0001, 0.3371, 0.1685], [0.0001, 0.8315, 0.1685], [0.4998, 0.6667, 0.3333], [0.9998, 0.3333, 0.6667], [0.0002, 0.6667, 0.3333], [0.5002, 0.3333, 0.6667]]}

---

{"formula": "LiHgH2Pd4", "functional": "GGA-PBE", "state": "optimized geometry", "spacegroup": "P4/mmm (123)", "m_tot_mub_per_fu": 0.000, "total_energy_ev_per_cell": -30.5, "dos_ef_per_ev_atom": 0.357, "lattice_angstrom": [[3.8846, 0.0000, 0.0000], [0.0000, 3.8846, 0.0000], [0.0000, 0.0000, 7.4638]], "species": ["Pd", "Pd", "Pd", "Pd", "Hg", "Li", "H", "H"], "frac_coords": [[0.5000, 0.0000, 0.2810], [0.0000, 0.5000, 0.2810], [0.5000, 0.0000, 0.7190], [0.0000, 0.5000, 0.7190], [0.0000, 0.0000, 0.0000], [0.0000, 0.0000, 0.5000], [0.5000, 0.5000, 0.7111], [0.5000, 0.5000, 0.2889]]}

---

{"formula": "TmThRh", "functional": "GGA-PBE", "state": "optimized geometry", "ef_mev_per_atom": -525, "spacegroup": "R3m (160)", "m_tot_mub_per_fu": 0.000, "polymorph_energy_ev_per_atom": 0.066, "dos_ef_per_ev_atom": 1.016, "lattice_angstrom": [[-3.6394, -1.5177, 1.3118], [-1.8545, -3.0659, -2.1050], [9.0965, -4.5450, 6.8116]], "species": ["Tm", "Tm", "Rh", "Rh", "Th", "Th"], "frac_coords": [[0.2925, 0.2925, 0.7930], [0.2925, 0.2925, 0.2930], [0.5412, 0.5412, 0.6659], [0.5412, 0.5412, 0.1659], [0.7896, 0.7896, 0.0378], [0.7896, 0.7896, 0.5378]]}

---

{"formula": "Tl2SeBr", "functional": "GGA-PBE", "state": "optimized geometry", "raw_formation_energy_ev_per_fu": -0.62, "spacegroup": "F-43m (216)", "m_tot_mub_per_fu": 0.000, "polymorph_energy_ev_per_atom": 0.332, "dos_ef_per_ev_atom": 0.673, "lattice_angstrom": [[5.4923, 0.0000, 0.0000], [2.7461, 4.7564, 0.0000], [2.7461, 1.5855, 4.4844]], "species": ["Tl", "Tl", "Br", "Se"], "frac_coords": [[0.2500, 0.2500, 0.2500], [0.0000, 0.0000, 0.0000], [0.5000, 0.5000, 0.5000], [0.7500, 0.7500, 0.7500]]}

---

{"formula": "Li5Bi4As", "functional": "GGA-PBE", "state": "optimized geometry", "ef_mev_per_atom": -367, "spacegroup": "P4/mmm (123)", "m_tot_mub_per_fu": 0.000, "dos_ef_per_ev_atom": 0.284, "lattice_angstrom": [[-0.8349, 3.2273, -0.9270], [-3.0016, -1.1455, -1.2847], [-8.1044, 2.6609, 16.5628]], "species": ["Bi", "Bi", "Bi", "Bi", "Li", "Li", "Li", "Li", "Li", "As"], "frac_coords": [[0.0000, 0.0000, 0.3904], [0.0000, 0.0000, 0.8233], [0.0000, 0.0000, 0.6096], [0.0000, 0.0000, 0.1767], [0.5000, 0.5000, 0.7153], [0.5000, 0.5000, 0.5000], [0.5000, 0.5000, 0.0713], [0.5000, 0.5000, 0.9287], [0.5000, 0.5000, 0.2847], [0.0000, 0.0000, 0.0000]]}

---

{"formula": "ScGaAg4", "functional": "GGA-PBE", "state": "optimized geometry", "ef_mev_per_atom": -40, "spacegroup": "F-43m (216)", "m_tot_mub_per_fu": 0.000, "dos_ef_per_ev_atom": 0.376, "lattice_angstrom": [[-1.9478, 2.0739, 4.6737], [0.0271, -3.0276, 4.5575], [3.4265, 1.2336, 4.0835]], "species": ["Ga", "Ag", "Ag", "Ag", "Ag", "Sc"], "frac_coords": [[0.0000, 0.0000, 0.0000], [0.1252, 0.6249, 0.6249], [0.6249, 0.1252, 0.6249], [0.6249, 0.6249, 0.6249], [0.6249, 0.6249, 0.1252], [0.2500, 0.2500, 0.2500]]}

---

{"formula": "YCrRuSe2", "functional": "GGA-PBE", "state": "optimized geometry", "raw_formation_energy_ev_per_fu": -0.53, "spacegroup": "P4/mmm (123)", "m_tot_mub_per_fu": 1.712, "dos_ef_per_ev_atom": 0.577, "lattice_angstrom": [[4.8157, 0.0000, 0.0000], [0.0000, 4.4512, 0.0000], [0.0000, 0.0000, 4.8157]], "species": ["Ru", "Y", "Se", "Se", "Cr"], "frac_coords": [[0.0000, 0.5000, 0.0000], [0.5000, 0.5000, 0.5000], [0.5000, 0.0000, 0.0000], [0.0000, 0.0000, 0.5000], [0.0000, 0.0000, 0.0000]]}

---

{"formula": "NiGe4Ir", "functional": "GGA-PBE", "state": "optimized geometry", "ef_mev_per_atom": -137, "spacegroup": "Pbam (55)", "m_tot_mub_per_fu": 0.000, "dos_ef_per_ev_atom": 0.381, "lattice_angstrom": [[-3.2228, -3.6026, -4.4423], [0.2073, -5.1234, 4.0045], [-4.0151, 1.2941, 1.8635]], "species": ["Ge", "Ge", "Ge", "Ge", "Ge", "Ge", "Ge", "Ge", "Ni", "Ni", "Ir", "Ir"], "frac_coords": [[0.1334, 0.8601, 0.5004], [0.6324, 0.1524, 0.9998], [0.1324, 0.3476, 0.9998], [0.3666, 0.3602, 0.4996], [0.3676, 0.8476, 0.0002], [0.6334, 0.6398, 0.5004], [0.8676, 0.6524, 0.0002], [0.8666, 0.1399, 0.4996], [0.5000, 0.5000, 0.0000], [0.0000, 0.0000, 0.0000], [0.0000, 0.5000, 0.5000], [0.5000, 0.0000, 0.5000]]}

---

{"formula": "Cs2KNp2S7", "functional": "GGA-PBE", "state": "optimized geometry", "raw_formation_energy_ev_per_fu": -14.22, "spacegroup": "I4/mmm (139)", "m_tot_mub_per_fu": 2.995, "dos_ef_per_ev_atom": 0.864, "lattice_angstrom": [[-3.2401, -1.1965, 3.8798], [3.6386, -3.0583, 2.0954], [5.0321, 8.6649, 10.3570]], "species": ["Np", "Np", "S", "S", "S", "S", "S", "S", "S", "K", "Cs", "Cs"], "frac_coords": [[0.4071, 0.4071, 0.1854], [0.5929, 0.5929, 0.8146], [0.3186, 0.3186, 0.3622], [0.6814, 0.6814, 0.6378], [0.9092, 0.4092, 0.1811], [0.4092, 0.9092, 0.1811], [0.0908, 0.5908, 0.8189], [0.5000, 0.5000, 0.0000], [0.5908, 0.0908, 0.8189], [0.0000, 0.0000, 0.0000], [0.1861, 0.1861, 0.6285], [0.8139, 0.8139, 0.3715]]}

---

{"formula": "HfInHg2", "functional": "GGA-PBE", "state": "optimized geometry", "ef_mev_per_atom": 38, "spacegroup": "R3m (160)", "m_tot_mub_per_fu": 0.000, "dos_ef_per_ev_atom": 0.579, "lattice_angstrom": [[-1.4380, 2.8114, -0.8714], [-3.0006, 0.7155, 1.1026], [2.5035, 5.6688, 8.0007]], "species": ["Hf", "Hg", "Hg", "In"], "frac_coords": [[0.5001, 0.5001, 0.4997], [0.2469, 0.2469, 0.2594], [0.0862, 0.0862, 0.7415], [0.6669, 0.6669, 0.9994]]}

---

{"formula": "Nb2HgPd", "functional": "GGA-PBE", "state": "optimized geometry", "ef_mev_per_atom": 397, "spacegroup": "I-42d (122)", "m_tot_mub_per_fu": 0.000, "dos_ef_per_ev_atom": 0.788, "lattice_angstrom": [[-7.3575, -1.3144, 1.3934], [1.0702, -7.4075, -1.3365], [-2.5809, -4.7496, 2.6332]], "species": ["Nb", "Nb", "Nb", "Nb", "Hg", "Hg", "Pd", "Pd"], "frac_coords": [[0.8750, 0.8484, 0.7500], [0.1516, 0.6250, 0.2500], [0.3750, 0.4016, 0.7500], [0.5984, 0.1250, 0.2500], [0.7500, 0.2500, 0.5000], [0.0000, 0.0000, 0.0000], [0.2500, 0.7500, 0.5000], [0.5000, 0.5000, 0.0000]]}

---

{"formula": "CaLa15Nd4", "functional": "GGA-PBE", "state": "optimized geometry", "ef_mev_per_atom": 18, "spacegroup": "P4/mmm (123)", "m_tot_mub_per_fu": 0.002, "dos_ef_per_ev_atom": 1.676, "lattice_angstrom": [[-0.2563, -4.6396, -2.5097], [5.1157, 0.3940, -1.2507], [6.4216, -12.4423, 22.3459]], "species": ["Nd", "Nd", "Nd", "Nd", "Ca", "La", "La", "La", "La", "La", "La", "La", "La", "La", "La", "La", "La", "La", "La", "La"], "frac_coords": [[0.0000, 0.0000, 0.5995], [0.0000, 0.0000, 0.7995], [0.0000, 0.0000, 0.2005], [0.0000, 0.0000, 0.4005], [0.0000, 0.0000, 0.0000], [0.0000, 0.5000, 0.6997], [0.0000, 0.5000, 0.8969], [0.0000, 0.5000, 0.1031], [0.5000, 0.5000, 0.0000], [0.0000, 0.5000, 0.5000], [0.5000, 0.5000, 0.4001], [0.5000, 0.0000, 0.3003], [0.5000, 0.5000, 0.7992], [0.5000, 0.5000, 0.5999], [0.0000, 0.5000, 0.3003], [0.5000, 0.0000, 0.6997], [0.5000, 0.0000, 0.5000], [0.5000, 0.5000, 0.2008], [0.5000, 0.0000, 0.1031], [0.5000, 0.0000, 0.8969]]}